# NbAlCrO6

A relaxed NbAlCrO6 crystal (PBE+U, the Alexandria database).

Structure (POSCAR):
```
NbAlCrO6
1.0
4.586 0.000 0.000
0.000 4.586 0.000
0.000 0.000 8.948
Nb Al Cr O
2 2 2 12
direct
0.000 0.000 0.000
0.500 0.500 0.500
0.000 0.000 0.661
0.500 0.500 0.161
0.000 0.000 0.330
0.500 0.500 0.830
0.189 0.189 0.497
0.201 0.201 0.823
0.204 0.204 0.163
0.296 0.704 0.663
0.299 0.701 0.323
0.311 0.689 0.997
0.689 0.311 0.997
0.701 0.299 0.323
0.704 0.296 0.663
0.796 0.796 0.163
0.799 0.799 0.823
0.811 0.811 0.497
```

Summary:
E: -7.98 eV/atom